[1]
# KInCo, PBEsol geometry, DFT meta-GGA SCAN
data_KInCo
_cell_length_a 3.2025
_cell_length_b 3.2025
_cell_length_c 7.5002
_cell_angle_alpha 90.00
_cell_angle_beta 90.00
_cell_angle_gamma 120.00
_space_group_name_H-M_alt 'P 3 m 1'
_space_group_IT_number 156
_space_group_name_Hall 'P 3 -2"'
loop_
_atom_site_label
_atom_site_fract_x
_atom_site_fract_y
_atom_site_fract_z
K1 0.0000 0.0000 0.0000
In1 0.6667 0.3333 0.4100
Co1 0.3333 0.6667 0.6567
# * energy above the most stable polymorph in this dataset: 0 meV per atom
# * magnetization: 1.41 Bohr magnetons per cell
# * DFT formation energy: 1.97 eV/f.u.
# * uncorrected energy: -1.3977 Ry per atom

[2]
# Sb2AsPb, PBEsol geometry, DFT meta-GGA SCAN
data_Sb2AsPb
_cell_length_a 4.230
_cell_length_b 4.230
_cell_length_c 6.338
_cell_angle_alpha 90.00
_cell_angle_beta 90.00
_cell_angle_gamma 90.00
_space_group_name_H-M_alt 'P 4 m m'
_space_group_IT_number 99
_space_group_name_Hall 'P 4 -2'
loop_
_atom_site_label
_atom_site_fract_x
_atom_site_fract_y
_atom_site_fract_z
Sb1 0.000 0.000 0.000
Sb2 0.500 0.500 0.084
As1 0.500 0.500 0.497
Pb1 0.000 0.000 0.516
# * energy above the most stable polymorph in this dataset: 0 meV per atom
# * magnetization: 0.00 Bohr magnetons per cell
# * raw formation energy: 0.018 eV/atom
# * uncorrected energy: -3.1315 Ry per atom

[3]
# Zr2SiNi, PBEsol geometry, DFT meta-GGA SCAN
data_Zr2SiNi
_cell_length_a 3.789
_cell_length_b 3.789
_cell_length_c 9.227
_cell_angle_alpha 90.00
_cell_angle_beta 90.00
_cell_angle_gamma 90.00
_space_group_name_H-M_alt 'I -4 m 2'
_space_group_IT_number 119
_space_group_name_Hall 'I -4 -2'
loop_
_atom_site_label
_atom_site_fract_x
_atom_site_fract_y
_atom_site_fract_z
Zr1 0.000 0.000 0.000
Zr2 0.000 0.500 0.250
Si1 0.000 0.000 0.500
Ni1 0.000 0.500 0.750
# * magnetization: 0.00 Bohr magnetons per cell
# * raw formation energy: -0.454 eV/atom
# * uncorrected energy: -1.6427 Ry per atom

[4]
# In2SeBr, PBEsol geometry, DFT meta-GGA SCAN
data_In2SeBr
_cell_length_a 4.167
_cell_length_b 4.167
_cell_length_c 12.441
_cell_angle_alpha 90.00
_cell_angle_beta 90.00
_cell_angle_gamma 90.00
_space_group_name_H-M_alt 'I -4 m 2'
_space_group_IT_number 119
_space_group_name_Hall 'I -4 -2'
loop_
_atom_site_label
_atom_site_fract_x
_atom_site_fract_y
_atom_site_fract_z
In1 0.000 0.000 0.000
In2 0.000 0.500 0.250
Se1 0.000 0.500 0.750
Br1 0.000 0.000 0.500
# * energy above the most stable polymorph in this dataset: 153 meV per atom
# * magnetization: 0.00 Bohr magnetons per cell
# * raw formation energy: -0.300 eV/atom
# * uncorrected energy: -1.9755 Ry per atom

[5]
# CrGe2Pd, PBEsol geometry, DFT meta-GGA SCAN
data_CrGe2Pd
_cell_length_a 6.043
_cell_length_b 6.043
_cell_length_c 6.043
_cell_angle_alpha 90.00
_cell_angle_beta 90.00
_cell_angle_gamma 90.00
_space_group_name_H-M_alt 'F m -3 m'
_space_group_IT_number 225
_space_group_name_Hall '-F 4 2 3'
loop_
_atom_site_label
_atom_site_fract_x
_atom_site_fract_y
_atom_site_fract_z
Cr1 0.000 0.000 0.000
Ge1 0.250 0.250 0.250
Pd1 0.000 0.000 0.500
# * magnetization: 0.00 Bohr magnetons per cell
# * DFT formation energy: 0.21 eV/f.u.
# * uncorrected energy: -1.6376 Ry per atom

[6]
# Zr2ZnBi, PBEsol geometry, DFT meta-GGA SCAN
data_Zr2ZnBi
_cell_length_a 6.937
_cell_length_b 6.937
_cell_length_c 6.937
_cell_angle_alpha 90.00
_cell_angle_beta 90.00
_cell_angle_gamma 90.00
_space_group_name_H-M_alt 'F m -3 m'
_space_group_IT_number 225
_space_group_name_Hall '-F 4 2 3'
loop_
_atom_site_label
_atom_site_fract_x
_atom_site_fract_y
_atom_site_fract_z
Zr1 0.250 0.250 0.250
Zn1 0.000 0.000 0.000
Bi1 0.000 0.000 0.500
# * magnetization: 0.00 Bohr magnetons per cell
# * DFT formation energy: -0.63 eV/f.u.
# * uncorrected energy: -2.8319 Ry per atom